Record 1
Below is a relaxed KLiTlBrF crystal, with properties calculated at the GGA-PBE level.

As for the energy: -3.28 eV/atom. The value obtained for the total magnetization is 0.0 μB/f.u. Its offset from the most stable computed form is 18.9 meV per atom. The density of states at the Fermi level is 1.66 states/eV/cell. Its formation energy without anion corrections is -7.47 eV per formula unit.

The space group is Cm (No. 8) and the conventional cell measures 12.089, 4.036 and 6.640 Å, with angles of 90.00, 106.42 and 90.00 degrees. The inequivalent atoms are K at (0.000, 0.000, 0.000), Li at (0.244, 0.500, 0.217), Tl at (0.480, 0.000, 0.492), Br at (0.280, 0.000, 0.009) and F at (0.096, 0.500, 0.224).

Record 2
Below is a relaxed Dy2ErThS4 crystal, with properties calculated at the GGA-PBE level.

As for the energy: -6.64 eV/atom. The value obtained for the total magnetization is 0.0 μB/f.u. The density of states at the Fermi level is 3.25 states/eV/cell. Its formation energy without anion corrections is -15.41 eV per formula unit.

The space group is P2/m (No. 10) and the conventional cell measures 6.806, 3.902 and 6.856 Å, with angles of 90.00, 109.14 and 90.00 degrees. The inequivalent atoms are Dy at (0.000, 0.000, 0.000), Dy at (0.000, 0.500, 0.500), Er at (0.500, 0.000, 0.500), Th at (0.500, 0.500, 0.000), S at (0.242, 0.000, 0.739) and S at (0.248, 0.500, 0.258).

Record 3
Below is a relaxed Ba4PdAuCl2 crystal, with properties calculated at the GGA-PBE level.

As for the energy: -3.73 eV/atom. The value obtained for the total magnetization is 0.0 μB/f.u. The density of states at the Fermi level is 5.80 states/eV/cell. Its formation energy without anion corrections is -10.00 eV per formula unit.

The space group is P2/m (No. 10) and the conventional cell measures 7.943, 4.588 and 8.590 Å, with angles of 90.00, 108.05 and 90.00 degrees. The inequivalent atoms are Ba at (0.237, 0.000, 0.227), Ba at (0.251, 0.500, 0.771), Pd at (0.000, 0.500, 0.000), Au at (0.500, 0.000, 0.000), Cl at (0.000, 0.000, 0.500) and Cl at (0.500, 0.500, 0.500).

Record 4
Below is a relaxed DyTiC2 crystal, with properties calculated at the GGA-PBE level.

As for the energy: -8.01 eV/atom. The value obtained for the total magnetization is 0.0 μB/f.u. As for the formation energy: -276 meV/atom. The density of states at the Fermi level is 7.22 states/eV/cell.

The space group is R-3m (No. 166, hexagonal axes) and the conventional cell measures 3.3013, 3.3013 and 16.4955 Å, with angles of 90.00, 90.00 and 120.00 degrees. The inequivalent atoms are Dy at (0.0000, 0.0000, 0.0000), Ti at (0.0000, 0.0000, 0.5000) and C at (0.0000, 0.0000, 0.2373).

Record 5
Below is a relaxed La6SiTe3P2 crystal, with properties calculated at the GGA-PBE level.

As for the energy: -6.11 eV/atom. The value obtained for the total magnetization is 0.0 μB/f.u. The density of states at the Fermi level is 9.58 states/eV/cell. Its formation energy without anion corrections is -18.07 eV per formula unit.

The space group is C2/m (No. 12) and the conventional cell measures 19.594, 4.402 and 9.014 Å, with angles of 90.00, 105.33 and 90.00 degrees. The inequivalent atoms are La at (0.007, 0.000, 0.236), La at (0.160, 0.500, 0.101), La at (0.174, 0.500, 0.565), Si at (0.000, 0.500, 0.000), Te at (0.000, 0.500, 0.500), Te at (0.167, 0.000, 0.832) and P at (0.168, 0.000, 0.335).

Record 6
Below is a relaxed Al2Ge2H crystal, with properties calculated at the GGA-PBE level.

As for the energy: -3.52 eV/atom. The value obtained for the total magnetization is 0.0 μB/f.u. Its offset from the most stable computed form is 0.0 meV per atom. The density of states at the Fermi level is 3.15 states/eV/cell.

The space group is I4/mmm (No. 139) and the conventional cell measures 3.894, 3.894 and 12.189 Å, with angles of 90.00, 90.00 and 90.00 degrees. The inequivalent atoms are Al at (0.000, 0.000, 0.103), Ge at (0.000, 0.500, 0.250) and H at (0.000, 0.000, 0.500).

Record 7
Below is a relaxed Ca3SbTe crystal, with properties calculated at the GGA-PBE level.

As for the energy: -3.32 eV/atom. The value obtained for the total magnetization is 0.0 μB/f.u. Its offset from the most stable computed form is 471.8 meV per atom. The density of states at the Fermi level is 4.75 states/eV/cell. Its formation energy without anion corrections is -3.32 eV per formula unit.

The space group is Pm-3m (No. 221) and the conventional cell measures 5.864, 5.864 and 5.864 Å, with angles of 90.00, 90.00 and 90.00 degrees. The inequivalent atoms are Ca at (0.000, 0.000, 0.500), Sb at (0.000, 0.000, 0.000) and Te at (0.500, 0.500, 0.500).

Record 8
Below is a relaxed Gd2NiPb crystal, with properties calculated at the GGA-PBE level.

As for the energy: -9.51 eV/atom. The value obtained for the total magnetization is 14.6 μB/f.u. As for the formation energy: -99 meV/atom. Its offset from the most stable computed form is 311.5 meV per atom. The density of states at the Fermi level is 14.44 states/eV/cell.

The space group is R-3m (No. 166, hexagonal axes) and the conventional cell measures 3.7990, 3.7990 and 29.0120 Å, with angles of 90.00, 90.00 and 120.00 degrees. The inequivalent atoms are Gd at (0.0000, 0.0000, 0.1115), Ni at (0.0000, 0.0000, 0.5000) and Pb at (0.0000, 0.0000, 0.0000).

Record 9
Below is a relaxed NdEr2TmS4 crystal, with properties calculated at the GGA-PBE level.

As for the energy: -6.32 eV/atom. The value obtained for the total magnetization is 0.0 μB/f.u. The density of states at the Fermi level is 4.50 states/eV/cell. Its formation energy without anion corrections is -15.65 eV per formula unit.

The space group is P2/m (No. 10) and the conventional cell measures 6.775, 3.862 and 6.841 Å, with angles of 90.00, 108.81 and 90.00 degrees. The inequivalent atoms are Nd at (0.000, 0.000, 0.000), Er at (0.500, 0.000, 0.500), Er at (0.500, 0.500, 0.000), Tm at (0.000, 0.500, 0.500), S at (0.254, 0.000, 0.742) and S at (0.262, 0.500, 0.264).

Record 10
Below is a relaxed TlPdPtCl6 crystal, with properties calculated at the GGA-PBE level.

As for the energy: -3.24 eV/atom. The value obtained for the total magnetization is 1.0 μB/f.u. The density of states at the Fermi level is 1.91 states/eV/cell. Its formation energy without anion corrections is -4.52 eV per formula unit.

The space group is C2 (No. 5) and the conventional cell measures 7.408, 10.564 and 6.852 Å, with angles of 90.00, 96.47 and 90.00 degrees. The inequivalent atoms are Tl at (0.000, 0.000, 0.000), Pd at (0.000, 0.688, 0.500), Pt at (0.000, 0.355, 0.500), Cl at (0.123, 0.522, 0.706), Cl at (0.129, 0.207, 0.722) and Cl at (0.179, 0.839, 0.672).

Record 11
Below is a relaxed HfReTeN2 crystal, with properties calculated at the GGA-PBE level.

As for the energy: -7.84 eV/atom. The value obtained for the total magnetization is 0.0 μB/f.u. Its offset from the most stable computed form is 0.0 meV per atom. The density of states at the Fermi level is 3.21 states/eV/cell. Its formation energy without anion corrections is 3.01 eV per formula unit.

The space group is P4/mmm (No. 123) and the conventional cell measures 3.951, 3.951 and 5.519 Å, with angles of 90.00, 90.00 and 90.00 degrees. The inequivalent atoms are Hf at (0.000, 0.000, 0.000), Re at (0.500, 0.500, 0.500), Te at (0.500, 0.500, 0.000) and N at (0.000, 0.500, 0.500).

Record 12
Below is a relaxed InSb2Ru crystal, with properties calculated at the GGA-PBE level.

As for the energy: -4.93 eV/atom. The value obtained for the total magnetization is 0.0 μB/f.u. The density of states at the Fermi level is 8.44 states/eV/cell. Its formation energy without anion corrections is 0.52 eV per formula unit.

The space group is R3m (No. 160, hexagonal axes) and the conventional cell measures 3.3260, 3.3260 and 28.6780 Å, with angles of 90.00, 90.00 and 120.00 degrees. The inequivalent atoms are In at (0.0000, 0.0000, 0.0000), Sb at (0.0000, 0.0000, 0.2415), Sb at (0.0000, 0.0000, 0.4693) and Ru at (0.0000, 0.0000, 0.7388).

Record 13
Below is a relaxed CaTl2GaSb crystal, with properties calculated at the GGA-PBE level.

As for the energy: -2.69 eV/atom. The value obtained for the total magnetization is 0.0 μB/f.u. The density of states at the Fermi level is 4.18 states/eV/cell. Its formation energy without anion corrections is 0.43 eV per formula unit.

The space group is P4/mmm (No. 123) and the conventional cell measures 5.307, 5.307 and 5.730 Å, with angles of 90.00, 90.00 and 90.00 degrees. The inequivalent atoms are Ca at (0.000, 0.000, 0.000), Tl at (0.000, 0.500, 0.500), Ga at (0.000, 0.000, 0.500) and Sb at (0.500, 0.500, 0.000).

Record 14
Below is a relaxed SbPPb crystal, with properties calculated at the GGA-PBE level.

As for the energy: -4.25 eV/atom. The value obtained for the total magnetization is 0.0 μB/f.u. Its offset from the most stable computed form is 89.2 meV per atom. The density of states at the Fermi level is 1.42 states/eV/cell. Its formation energy without anion corrections is 0.50 eV per formula unit.

The space group is Pm (No. 6) and the conventional cell measures 4.308, 3.787 and 5.462 Å, with angles of 90.00, 108.40 and 90.00 degrees. The inequivalent atoms are Sb at (0.000, 0.000, 0.000), P at (0.674, 0.500, 0.133) and Pb at (0.378, 0.500, 0.551).

Record 15
Below is a relaxed Er4TmCo crystal, with properties calculated at the GGA-PBE level.

As for the energy: -5.02 eV/atom. The value obtained for the total magnetization is 0.0 μB/f.u. As for the formation energy: -51 meV/atom. The density of states at the Fermi level is 32.78 states/eV/cell.

The space group is Immm (No. 71) and the conventional cell measures 5.742, 7.209 and 15.834 Å, with angles of 90.00, 90.00 and 90.00 degrees. The inequivalent atoms are Er at (0.000, 0.000, 0.174), Er at (0.000, 0.247, 0.381), Er at (0.000, 0.274, 0.000), Tm at (0.000, 0.500, 0.196) and Co at (0.199, 0.500, 0.500).

Record 16
Below is a relaxed Ti2ClO crystal, with properties calculated at the GGA-PBE level.

As for the energy: -6.91 eV/atom. The value obtained for the total magnetization is 1.0 μB/f.u. Its offset from the most stable computed form is 0.0 meV per atom. The density of states at the Fermi level is 18.61 states/eV/cell. Its formation energy without anion corrections is -5.03 eV per formula unit.

The space group is I-42d (No. 122) and the conventional cell measures 4.910, 4.910 and 10.994 Å, with angles of 90.00, 90.00 and 90.00 degrees. The inequivalent atoms are Ti at (0.153, 0.250, 0.125), Cl at (0.000, 0.000, 0.500) and O at (0.000, 0.000, 0.000).

Record 17
Below is a relaxed Be3GeAu crystal, with properties calculated at the GGA-PBE level.

As for the energy: -3.19 eV/atom. The value obtained for the total magnetization is 0.0 μB/f.u. As for the formation energy: 629 meV/atom. Its offset from the most stable computed form is 0.0 meV per atom. The density of states at the Fermi level is 1.62 states/eV/cell.

The space group is Pm-3m (No. 221) and the conventional cell measures 4.362, 4.362 and 4.362 Å, with angles of 90.00, 90.00 and 90.00 degrees. The inequivalent atoms are Be at (0.000, 0.000, 0.500), Ge at (0.500, 0.500, 0.500) and Au at (0.000, 0.000, 0.000).

Record 18
Below is a relaxed AcTmSn3 crystal, with properties calculated at the GGA-PBE level.

As for the energy: -4.59 eV/atom. The value obtained for the total magnetization is 0.0 μB/f.u. As for the formation energy: -475 meV/atom. The density of states at the Fermi level is 22.58 states/eV/cell.

The space group is C2/c (No. 15) and the conventional cell measures 12.576, 15.729 and 6.386 Å, with angles of 90.00, 92.47 and 90.00 degrees. The inequivalent atoms are Ac at (0.181, 0.089, 0.006), Tm at (0.000, 0.289, 0.250), Tm at (0.000, 0.463, 0.750), Sn at (0.096, 0.132, 0.492), Sn at (0.118, 0.282, 0.780) and Sn at (0.169, 0.411, 0.442).

Record 19
Below is a relaxed Ta5Nb12Cr3 crystal, with properties calculated at the GGA-PBE level.

As for the energy: -8.96 eV/atom. The value obtained for the total magnetization is 0.0 μB/f.u. As for the formation energy: 1485 meV/atom. The density of states at the Fermi level is 221.52 states/eV/cell.

The space group is Ia-3d (No. 230) and the conventional cell measures 15.171, 15.171 and 15.171 Å, with angles of 90.00, 90.00 and 90.00 degrees. The inequivalent atoms are Ta at (0.000, 0.000, 0.000), Ta at (0.000, 0.250, 0.375), Nb at (0.017, 0.092, 0.646) and Cr at (0.000, 0.250, 0.125).

Record 20
Below is a relaxed MgGaPd2Pt crystal, with properties calculated at the GGA-PBE level.

As for the energy: -4.27 eV/atom. The value obtained for the total magnetization is 0.0 μB/f.u. As for the formation energy: -59 meV/atom. The density of states at the Fermi level is 2.82 states/eV/cell.

The space group is P4/mmm (No. 123) and the conventional cell measures 4.616, 4.616 and 4.658 Å, with angles of 90.00, 90.00 and 90.00 degrees. The inequivalent atoms are Mg at (0.000, 0.000, 0.000), Ga at (0.500, 0.500, 0.500), Pd at (0.000, 0.500, 0.500) and Pt at (0.500, 0.500, 0.000).

Record 21
Below is a relaxed Pr11Y4Tm9 crystal, with properties calculated at the GGA-PBE level.

As for the energy: -4.88 eV/atom. The value obtained for the total magnetization is 0.0 μB/f.u. As for the formation energy: 65 meV/atom. The density of states at the Fermi level is 59.56 states/eV/cell.

The space group is Cmmm (No. 65) and the conventional cell measures 17.010, 25.819 and 3.669 Å, with angles of 90.00, 90.00 and 90.00 degrees. The inequivalent atoms are Pr at (0.000, 0.000, 0.000), Pr at (0.000, 0.161, 0.000), Pr at (0.000, 0.368, 0.000), Pr at (0.209, 0.500, 0.000), Pr at (0.222, 0.181, 0.000), Y at (0.158, 0.398, 0.500), Tm at (0.000, 0.500, 0.500), Tm at (0.102, 0.268, 0.500) and Tm at (0.140, 0.073, 0.500).